# 1
# Zr2FeHg, single point on PBEsol structure, DFT SCAN
data_Zr2FeHg
_chemical_formula_sum 'Zr2 Fe1 Hg1'
_cell_length_a 4.6056
_cell_length_b 4.6056
_cell_length_c 3.4841
_cell_angle_alpha 90.00
_cell_angle_beta 90.00
_cell_angle_gamma 90.00
_space_group_name_H-M_alt 'P 4/m m m'
_space_group_IT_number 123
_space_group_name_Hall '-P 4 2'
loop_
_atom_site_label
_atom_site_type_symbol
_atom_site_fract_x
_atom_site_fract_y
_atom_site_fract_z
Zr1 Zr 0.0000 0.5000 0.0000
Fe1 Fe 0.0000 0.0000 0.5000
Hg1 Hg 0.5000 0.5000 0.5000
# **Formation energy from the elements**: -0.195 eV/atom
# **Magnetization**: 0.1209 μB per atom
# **DOS(E_F)**: 0.67 states/eV per atom

# 2
# Li2GaPd2, single point on PBEsol structure, DFT SCAN
data_Li2GaPd2
_chemical_formula_sum 'Li4 Ga2 Pd4'
_cell_length_a 6.2936
_cell_length_b 6.2936
_cell_length_c 3.9051
_cell_angle_alpha 90.00
_cell_angle_beta 90.00
_cell_angle_gamma 90.00
_space_group_name_H-M_alt 'P 4/m b m'
_space_group_IT_number 127
_space_group_name_Hall '-P 4 2ab'
loop_
_atom_site_label
_atom_site_type_symbol
_atom_site_fract_x
_atom_site_fract_y
_atom_site_fract_z
Li1 Li 0.1579 0.3421 0.0000
Ga1 Ga 0.0000 0.0000 0.5000
Pd1 Pd 0.1470 0.6470 0.5000
# **Formation energy from the elements**: -0.529 eV/atom
# **Magnetization**: 0.0000 μB per atom
# **DOS(E_F)**: 0.28 states/eV per atom
# **ΔE to the lowest computed polymorph**: 0.0 meV per atom

# 3
# CrCI2N, single point on PBEsol structure, DFT SCAN
data_CrCI2N
_chemical_formula_sum 'Cr1 C1 I2 N1'
_cell_length_a 6.5364
_cell_length_b 6.5364
_cell_length_c 2.6532
_cell_angle_alpha 90.00
_cell_angle_beta 90.00
_cell_angle_gamma 90.00
_space_group_name_H-M_alt 'P 4/m m m'
_space_group_IT_number 123
_space_group_name_Hall '-P 4 2'
loop_
_atom_site_label
_atom_site_type_symbol
_atom_site_fract_x
_atom_site_fract_y
_atom_site_fract_z
Cr1 Cr 0.0000 0.0000 0.0000
C1 C 0.5000 0.5000 0.5000
I1 I 0.0000 0.5000 0.5000
N1 N 0.5000 0.5000 0.0000
# **Magnetization**: 1.1090 μB per atom
# **DOS(E_F)**: 0.39 states/eV per atom
# **Energy relative to the elements, uncorrected**: 1200 meV/atom

# 4
# TcAgPS2, single point on PBEsol structure, DFT SCAN
data_TcAgPS2
_chemical_formula_sum 'Tc1 Ag1 P1 S2'
_cell_length_a 4.6908
_cell_length_b 4.6908
_cell_length_c 4.6777
_cell_angle_alpha 90.00
_cell_angle_beta 90.00
_cell_angle_gamma 90.00
_space_group_name_H-M_alt 'P 4/m m m'
_space_group_IT_number 123
_space_group_name_Hall '-P 4 2'
loop_
_atom_site_label
_atom_site_type_symbol
_atom_site_fract_x
_atom_site_fract_y
_atom_site_fract_z
Tc1 Tc 0.0000 0.0000 0.0000
Ag1 Ag 0.5000 0.5000 0.5000
P1 P 0.5000 0.5000 0.0000
S1 S 0.0000 0.5000 0.5000
# **Magnetization**: 0.6659 μB per atom
# **DOS(E_F)**: 0.61 states/eV per atom
# **Energy relative to the elements, uncorrected**: 1298 meV/atom

# 5
# CaPtAu2, single point on PBEsol structure, DFT SCAN
data_CaPtAu2
_chemical_formula_sum 'Ca3 Pt3 Au6'
_cell_length_a 2.9961
_cell_length_b 2.9961
_cell_length_c 27.9173
_cell_angle_alpha 90.00
_cell_angle_beta 90.00
_cell_angle_gamma 120.00
_space_group_name_H-M_alt 'R -3 m'
_space_group_IT_number 166
_space_group_name_Hall '-R 3 2"'
loop_
_atom_site_label
_atom_site_type_symbol
_atom_site_fract_x
_atom_site_fract_y
_atom_site_fract_z
Ca1 Ca 0.0000 0.0000 0.0000
Pt1 Pt 0.0000 0.0000 0.5000
Au1 Au 0.0000 0.0000 0.2475
# **Formation energy from the elements**: 0.035 eV/atom
# **Magnetization**: 0.0000 μB per atom
# **DOS(E_F)**: 0.73 states/eV per atom
# **ΔE to the lowest computed polymorph**: 680.8 meV per atom

# 6
# CsTeI2F, single point on PBEsol structure, DFT SCAN
data_CsTeI2F
_chemical_formula_sum 'Cs1 Te1 I2 F1'
_cell_length_a 5.7661
_cell_length_b 5.7661
_cell_length_c 7.9785
_cell_angle_alpha 90.00
_cell_angle_beta 90.00
_cell_angle_gamma 90.00
_space_group_name_H-M_alt 'P 4/m m m'
_space_group_IT_number 123
_space_group_name_Hall '-P 4 2'
loop_
_atom_site_label
_atom_site_type_symbol
_atom_site_fract_x
_atom_site_fract_y
_atom_site_fract_z
Cs1 Cs 0.0000 0.0000 0.0000
Te1 Te 0.0000 0.0000 0.5000
I1 I 0.0000 0.5000 0.5000
F1 F 0.5000 0.5000 0.0000
# **Magnetization**: 0.0495 μB per atom
# **DOS(E_F)**: 1.20 states/eV per atom
# **Energy relative to the elements, uncorrected**: -696 meV/atom

# 7
# AgGePCl2, single point on PBEsol structure, DFT SCAN
data_AgGePCl2
_chemical_formula_sum 'Ag1 Ge1 P1 Cl2'
_cell_length_a 4.7734
_cell_length_b 4.7734
_cell_length_c 4.9657
_cell_angle_alpha 90.00
_cell_angle_beta 90.00
_cell_angle_gamma 90.00
_space_group_name_H-M_alt 'P 4/m m m'
_space_group_IT_number 123
_space_group_name_Hall '-P 4 2'
loop_
_atom_site_label
_atom_site_type_symbol
_atom_site_fract_x
_atom_site_fract_y
_atom_site_fract_z
Ag1 Ag 0.0000 0.0000 0.0000
Ge1 Ge 0.5000 0.5000 0.5000
P1 P 0.0000 0.0000 0.5000
Cl1 Cl 0.0000 0.5000 0.0000
# **Magnetization**: 0.0001 μB per atom
# **DOS(E_F)**: 0.62 states/eV per atom
# **Energy relative to the elements, uncorrected**: 462 meV/atom
# **ΔE to the lowest computed polymorph**: 211.6 meV per atom

# 8
# FeSeBr2, single point on PBEsol structure, DFT SCAN
data_FeSeBr2
_chemical_formula_sum 'Fe2 Se2 Br4'
_cell_length_a 3.1679
_cell_length_b 4.3748
_cell_length_c 13.2966
_cell_angle_alpha 90.00
_cell_angle_beta 90.00
_cell_angle_gamma 90.00
_space_group_name_H-M_alt 'I m m m'
_space_group_IT_number 71
_space_group_name_Hall '-I 2 2'
loop_
_atom_site_label
_atom_site_type_symbol
_atom_site_fract_x
_atom_site_fract_y
_atom_site_fract_z
Fe1 Fe 0.0000 0.0000 0.0000
Se1 Se 0.0000 0.0000 0.5000
Br1 Br 0.0000 0.5000 0.3483
# **Magnetization**: 0.6933 μB per atom
# **DOS(E_F)**: 0.88 states/eV per atom
# **Energy relative to the elements, uncorrected**: 150 meV/atom
# **ΔE to the lowest computed polymorph**: 250.3 meV per atom

# 9
# Y2MgCd, single point on PBEsol structure, DFT SCAN
data_Y2MgCd
_chemical_formula_sum 'Y8 Mg4 Cd4'
_cell_length_a 7.4319
_cell_length_b 7.4319
_cell_length_c 7.4319
_cell_angle_alpha 90.00
_cell_angle_beta 90.00
_cell_angle_gamma 90.00
_space_group_name_H-M_alt 'F m -3 m'
_space_group_IT_number 225
_space_group_name_Hall '-F 4 2 3'
loop_
_atom_site_label
_atom_site_type_symbol
_atom_site_fract_x
_atom_site_fract_y
_atom_site_fract_z
Y1 Y 0.2500 0.2500 0.2500
Mg1 Mg 0.0000 0.0000 0.0000
Cd1 Cd 0.0000 0.0000 0.5000
# **Formation energy from the elements**: -0.306 eV/atom
# **Magnetization**: 0.0363 μB per atom
# **DOS(E_F)**: 0.91 states/eV per atom

# 10
# MnCuMo2, single point on PBEsol structure, DFT SCAN
data_MnCuMo2
_chemical_formula_sum 'Mn2 Cu2 Mo4'
_cell_length_a 3.1229
_cell_length_b 4.1350
_cell_length_c 8.2214
_cell_angle_alpha 90.00
_cell_angle_beta 90.00
_cell_angle_gamma 90.00
_space_group_name_H-M_alt 'I m m 2'
_space_group_IT_number 44
loop_
_space_group_symop_operation_xyz
'x,y,z'
'-x,-y,z'
'-x,y,z'
'x,-y,z'
'x+1/2,y+1/2,z+1/2'
'-x+1/2,-y+1/2,z+1/2'
'-x+1/2,y+1/2,z+1/2'
'x+1/2,-y+1/2,z+1/2'
loop_
_atom_site_label
_atom_site_type_symbol
_atom_site_fract_x
_atom_site_fract_y
_atom_site_fract_z
Mn1 Mn 0.0000 0.0000 0.0000
Cu1 Cu 0.0000 0.5000 0.2492
Mo1 Mo 0.0000 0.0000 0.4802
Mo2 Mo 0.0000 0.5000 0.7292
# **Formation energy from the elements**: 0.273 eV/atom
# **Magnetization**: 0.5367 μB per atom
# **DOS(E_F)**: 0.92 states/eV per atom

# 11
# Dy2Zn17, single point on PBEsol structure, DFT SCAN
data_Dy2Zn17
_chemical_formula_sum 'Dy6 Zn51'
_cell_length_a 8.7919
_cell_length_b 8.7919
_cell_length_c 12.8671
_cell_angle_alpha 90.00
_cell_angle_beta 90.00
_cell_angle_gamma 120.00
_space_group_name_H-M_alt 'R -3 m'
_space_group_IT_number 166
_space_group_name_Hall '-R 3 2"'
loop_
_atom_site_label
_atom_site_type_symbol
_atom_site_fract_x
_atom_site_fract_y
_atom_site_fract_z
Dy1 Dy 0.0000 0.0000 0.1644
Zn1 Zn 0.0000 0.0000 0.4002
Zn2 Zn 0.0000 0.2972 0.5000
Zn3 Zn 0.0000 0.5000 0.0000
Zn4 Zn 0.0087 0.5043 0.6524
# **Formation energy from the elements**: -0.300 eV/atom
# **Magnetization**: 0.0000 μB per atom
# **DOS(E_F)**: 0.22 states/eV per atom

# 12
# KLaYPb2, single point on PBEsol structure, DFT SCAN
data_KLaYPb2
_chemical_formula_sum 'K1 La1 Y1 Pb2'
_cell_length_a 6.1086
_cell_length_b 6.1086
_cell_length_c 5.7799
_cell_angle_alpha 90.00
_cell_angle_beta 90.00
_cell_angle_gamma 90.00
_space_group_name_H-M_alt 'P 4/m m m'
_space_group_IT_number 123
_space_group_name_Hall '-P 4 2'
loop_
_atom_site_label
_atom_site_type_symbol
_atom_site_fract_x
_atom_site_fract_y
_atom_site_fract_z
K1 K 0.0000 0.0000 0.0000
La1 La 0.5000 0.5000 0.5000
Y1 Y 0.5000 0.5000 0.0000
Pb1 Pb 0.0000 0.5000 0.5000
# **Formation energy from the elements**: 0.305 eV/atom
# **Magnetization**: 0.0000 μB per atom
# **DOS(E_F)**: 0.84 states/eV per atom

# 13
# LiSiW2, single point on PBEsol structure, DFT SCAN
data_LiSiW2
_chemical_formula_sum 'Li2 Si2 W4'
_cell_length_a 3.2441
_cell_length_b 4.1954
_cell_length_c 8.1583
_cell_angle_alpha 90.00
_cell_angle_beta 90.00
_cell_angle_gamma 90.00
_space_group_name_H-M_alt 'I m m m'
_space_group_IT_number 71
_space_group_name_Hall '-I 2 2'
loop_
_atom_site_label
_atom_site_type_symbol
_atom_site_fract_x
_atom_site_fract_y
_atom_site_fract_z
Li1 Li 0.0000 0.0000 0.0000
Si1 Si 0.0000 0.0000 0.5000
W1 W 0.0000 0.5000 0.2492
# **Magnetization**: 0.0000 μB per atom
# **DOS(E_F)**: 0.46 states/eV per atom
# **Energy relative to the elements, uncorrected**: 227 meV/atom

# 14
# La3IrF, single point on PBEsol structure, DFT SCAN
data_La3IrF
_chemical_formula_sum 'La3 Ir1 F1'
_cell_length_a 5.5896
_cell_length_b 5.5896
_cell_length_c 5.5896
_cell_angle_alpha 90.00
_cell_angle_beta 90.00
_cell_angle_gamma 90.00
_space_group_name_H-M_alt 'P m -3 m'
_space_group_IT_number 221
_space_group_name_Hall '-P 4 2 3'
loop_
_atom_site_label
_atom_site_type_symbol
_atom_site_fract_x
_atom_site_fract_y
_atom_site_fract_z
La1 La 0.0000 0.0000 0.5000
Ir1 Ir 0.0000 0.0000 0.0000
F1 F 0.5000 0.5000 0.5000
# **Magnetization**: 0.0000 μB per atom
# **DOS(E_F)**: 1.05 states/eV per atom
# **Energy relative to the elements, uncorrected**: -760 meV/atom

# 15
# CrInNi2, single point on PBEsol structure, DFT SCAN
data_CrInNi2
_chemical_formula_sum 'Cr1 In1 Ni2'
_cell_length_a 3.9460
_cell_length_b 3.9460
_cell_length_c 3.4459
_cell_angle_alpha 90.00
_cell_angle_beta 90.00
_cell_angle_gamma 90.00
_space_group_name_H-M_alt 'P 4/m m m'
_space_group_IT_number 123
_space_group_name_Hall '-P 4 2'
loop_
_atom_site_label
_atom_site_type_symbol
_atom_site_fract_x
_atom_site_fract_y
_atom_site_fract_z
Cr1 Cr 0.0000 0.0000 0.0000
In1 In 0.5000 0.5000 0.0000
Ni1 Ni 0.0000 0.5000 0.5000
# **Formation energy from the elements**: -0.023 eV/atom
# **Magnetization**: 1.1140 μB per atom
# **DOS(E_F)**: 0.54 states/eV per atom

# 16
# KLaSb2, single point on PBEsol structure, DFT SCAN
data_KLaSb2
_chemical_formula_sum 'K1 La1 Sb2'
_cell_length_a 3.5900
_cell_length_b 3.5900
_cell_length_c 9.5191
_cell_angle_alpha 90.00
_cell_angle_beta 90.00
_cell_angle_gamma 90.00
_space_group_name_H-M_alt 'P 4/m m m'
_space_group_IT_number 123
_space_group_name_Hall '-P 4 2'
loop_
_atom_site_label
_atom_site_type_symbol
_atom_site_fract_x
_atom_site_fract_y
_atom_site_fract_z
K1 K 0.0000 0.0000 0.0000
La1 La 0.0000 0.0000 0.5000
Sb1 Sb 0.5000 0.5000 0.2670
# **Magnetization**: 0.0560 μB per atom
# **DOS(E_F)**: 0.62 states/eV per atom
# **Energy relative to the elements, uncorrected**: -762 meV/atom
# **ΔE to the lowest computed polymorph**: 86.9 meV per atom

# 17
# FeCuRe, single point on PBEsol structure, DFT SCAN
data_FeCuRe
_chemical_formula_sum 'Fe1 Cu1 Re1'
_cell_length_a 4.0991
_cell_length_b 4.0991
_cell_length_c 2.5170
_cell_angle_alpha 90.00
_cell_angle_beta 90.00
_cell_angle_gamma 120.00
_space_group_name_H-M_alt 'P 3 m 1'
_space_group_IT_number 156
loop_
_space_group_symop_operation_xyz
'x,y,z'
'-y,x-y,z'
'-x+y,-x,z'
'-y,-x,z'
'-x+y,y,z'
'x,x-y,z'
loop_
_atom_site_label
_atom_site_type_symbol
_atom_site_fract_x
_atom_site_fract_y
_atom_site_fract_z
Fe1 Fe 0.0000 0.0000 0.0000
Cu1 Cu 0.3333 0.6667 0.7740
Re1 Re 0.6667 0.3333 0.3185
# **Formation energy from the elements**: 0.193 eV/atom
# **Magnetization**: 0.6267 μB per atom
# **DOS(E_F)**: 0.52 states/eV per atom
# **ΔE to the lowest computed polymorph**: 0.0 meV per atom

# 18
# CaMg2Mn, single point on PBEsol structure, DFT SCAN
data_CaMg2Mn
_chemical_formula_sum 'Ca1 Mg2 Mn1'
_cell_length_a 3.4328
_cell_length_b 3.4800
_cell_length_c 7.7769
_cell_angle_alpha 90.00
_cell_angle_beta 90.00
_cell_angle_gamma 90.00
_space_group_name_H-M_alt 'P m m 2'
_space_group_IT_number 25
loop_
_space_group_symop_operation_xyz
'x,y,z'
'-x,-y,z'
'-x,y,z'
'x,-y,z'
loop_
_atom_site_label
_atom_site_type_symbol
_atom_site_fract_x
_atom_site_fract_y
_atom_site_fract_z
Ca1 Ca 0.0000 0.0000 0.0000
Mg1 Mg 0.0000 0.0000 0.5638
Mg2 Mg 0.5000 0.5000 0.3207
Mn1 Mn 0.5000 0.5000 0.7397
# **Formation energy from the elements**: 0.048 eV/atom
# **Magnetization**: 1.0467 μB per atom
# **DOS(E_F)**: 0.58 states/eV per atom

# 19
# SrLa2Pb, single point on PBEsol structure, DFT SCAN
data_SrLa2Pb
_chemical_formula_sum 'Sr2 La4 Pb2'
_cell_length_a 4.9711
_cell_length_b 4.9711
_cell_length_c 10.5891
_cell_angle_alpha 90.00
_cell_angle_beta 90.00
_cell_angle_gamma 90.00
_space_group_name_H-M_alt 'I -4 m 2'
_space_group_IT_number 119
_space_group_name_Hall 'I -4 -2'
loop_
_atom_site_label
_atom_site_type_symbol
_atom_site_fract_x
_atom_site_fract_y
_atom_site_fract_z
Sr1 Sr 0.0000 0.0000 0.0000
La1 La 0.0000 0.0000 0.5000
La2 La 0.0000 0.5000 0.2500
Pb1 Pb 0.0000 0.5000 0.7500
# **Formation energy from the elements**: -0.364 eV/atom
# **Magnetization**: 0.0009 μB per atom
# **DOS(E_F)**: 1.20 states/eV per atom

# 20
# CsTi2SnSb, single point on PBEsol structure, DFT SCAN
data_CsTi2SnSb
_chemical_formula_sum 'Cs1 Ti2 Sn1 Sb1'
_cell_length_a 5.2565
_cell_length_b 5.2565
_cell_length_c 6.1811
_cell_angle_alpha 90.00
_cell_angle_beta 90.00
_cell_angle_gamma 90.00
_space_group_name_H-M_alt 'P 4/m m m'
_space_group_IT_number 123
_space_group_name_Hall '-P 4 2'
loop_
_atom_site_label
_atom_site_type_symbol
_atom_site_fract_x
_atom_site_fract_y
_atom_site_fract_z
Cs1 Cs 0.0000 0.0000 0.0000
Ti1 Ti 0.0000 0.5000 0.5000
Sn1 Sn 0.0000 0.0000 0.5000
Sb1 Sb 0.5000 0.5000 0.0000
# **Magnetization**: 0.6050 μB per atom
# **DOS(E_F)**: 0.93 states/eV per atom
# **Energy relative to the elements, uncorrected**: 873 meV/atom